Computed, not measured: a PBEsol-optimized structure of TaP4S10Cl5 at the meta-GGA SCAN level of DFT.

POSCAR file:
```
TaP4S10Cl5
1.0
-3.497 -7.723 -4.672
8.009 -6.523 -4.027
0.619 -9.711 6.409
Ta P S Cl
2 8 20 10
Cartesian
1.755 -12.341 0.606 Ta
3.377 -11.616 -2.896 Ta
-0.186 -7.189 -1.487 P
5.317 -16.768 -0.803 P
0.586 -3.994 -0.467 P
4.545 -19.964 -1.823 P
3.032 -6.034 -1.739 P
2.099 -17.923 -0.551 P
1.690 -6.676 1.347 P
3.442 -17.281 -3.638 P
0.224 -7.892 0.453 S
4.907 -16.065 -2.744 S
4.631 -6.067 -2.802 S
0.500 -17.890 0.512 S
6.578 -8.896 -0.731 S
-1.446 -15.061 -1.560 S
-0.055 -2.186 -0.386 S
5.186 -21.771 -1.905 S
3.451 -6.743 0.197 S
1.680 -17.215 -2.488 S
1.575 -7.255 -2.638 S
3.556 -16.703 0.348 S
-0.879 -5.204 -1.370 S
6.010 -18.754 -0.920 S
0.999 -4.694 1.471 S
4.132 -19.263 -3.762 S
-1.531 -8.287 -2.303 S
6.662 -15.670 0.013 S
2.338 -4.053 -1.627 S
2.793 -19.904 -0.663 S
2.942 -10.494 -0.657 Cl
2.189 -13.464 -1.633 Cl
-0.168 -11.533 -0.379 Cl
5.299 -12.425 -1.911 Cl
1.569 -11.000 2.409 Cl
3.562 -12.958 -4.699 Cl
4.374 -9.724 -3.622 Cl
0.757 -14.234 1.332 Cl
1.261 -10.892 -3.461 Cl
3.870 -13.065 1.170 Cl
```

The calculation puts the uncorrected formation energy at -0.605 eV/atom. The calculation puts the theoretical density at 2.556 g/cm3. The size of the total moment is 0.00 μB per formula unit.


Computed, not measured: a PBEsol-optimized structure of TaP4S4Cl5 at the meta-GGA SCAN level of DFT.

POSCAR file:
```
TaP4S4Cl5
1.0
-0.900 -5.904 -2.796
5.732 -6.010 3.684
-6.595 -4.513 10.567
Ta P S Cl
2 8 8 10
Cartesian
-4.077 -6.072 9.389 Ta
2.314 -10.355 2.065 Ta
-0.283 -7.010 7.922 P
-1.480 -9.416 3.533 P
-1.805 -7.486 9.639 P
0.042 -8.941 1.815 P
-1.950 -2.324 3.628 P
-1.885 -6.512 2.149 P
0.122 -9.915 9.306 P
0.187 -14.103 7.826 P
-2.289 -3.811 5.112 S
-1.564 -13.168 8.585 S
-1.944 -9.568 9.626 S
-0.199 -3.258 2.870 S
0.526 -12.616 6.342 S
0.173 -9.001 7.394 S
-1.936 -7.425 4.061 S
0.181 -6.859 1.829 S
3.038 -4.725 2.577 Cl
4.114 -11.688 2.502 Cl
3.385 -8.339 1.718 Cl
-4.801 -11.701 8.878 Cl
-3.679 -6.734 7.177 Cl
1.916 -9.692 4.278 Cl
-3.342 -10.329 6.317 Cl
1.579 -6.097 5.138 Cl
-5.148 -8.087 9.737 Cl
-5.877 -4.739 8.953 Cl
```

The calculation puts the uncorrected formation energy at -0.729 eV/atom. The calculation puts the theoretical density at 2.791 g/cm3. The size of the total moment is 0.00 μB per formula unit.


Computed, not measured: a PBEsol-optimized structure of TcP2SCl at the meta-GGA SCAN level of DFT.

POSCAR file:
```
TcP2SCl
1.0
4.564 0.000 0.000
0.000 4.564 0.000
0.000 0.000 4.541
P S Tc Cl
2 1 1 1
Cartesian
0.000 2.282 0.000 P
2.282 0.000 0.000 P
2.282 2.282 2.270 S
0.000 0.000 0.000 Tc
0.000 0.000 2.270 Cl
```

The calculation puts the uncorrected formation energy at 0.544 eV/atom. The calculation puts the theoretical density at 3.993 g/cm3. The size of the total moment is 0.00 μB per formula unit.


Computed, not measured: a PBEsol-optimized structure of ZnP2SCl at the meta-GGA SCAN level of DFT.

POSCAR file:
```
ZnP2SCl
1.0
-0.498 -1.805 -4.028
2.714 -3.601 1.278
-3.785 -2.318 1.507
P Zn S Cl
2 1 1 1
Cartesian
-1.893 -1.159 0.753 P
1.357 -1.801 0.639 P
0.000 0.000 0.000 Zn
-0.249 -0.902 -2.014 S
-0.784 -3.862 -0.622 Cl
```

The calculation puts the uncorrected formation energy at 0.955 eV/atom. The calculation puts the theoretical density at 3.315 g/cm3. The size of the total moment is 0.00 μB per formula unit.


Computed, not measured: a PBEsol-optimized structure of ZnP2SCl at the meta-GGA SCAN level of DFT.

POSCAR file:
```
ZnP2SCl
1.0
4.443 0.000 0.000
0.000 4.661 0.000
0.000 0.000 4.661
P Zn S Cl
2 1 1 1
Cartesian
0.000 0.000 2.331 P
0.000 2.331 0.000 P
0.000 0.000 0.000 Zn
2.222 2.331 2.331 S
2.222 0.000 0.000 Cl
```

The calculation puts the uncorrected formation energy at 0.878 eV/atom. The calculation puts the theoretical density at 3.352 g/cm3. The size of the total moment is 0.78 μB per formula unit.


Computed, not measured: a PBEsol-optimized structure of ZrPSCl2 at the meta-GGA SCAN level of DFT.

POSCAR file:
```
ZrPSCl2
1.0
-4.543 -0.433 -1.831
1.878 -1.988 -4.191
-0.371 -4.571 2.002
P S Zr Cl
1 1 1 2
Cartesian
-1.518 -3.496 -2.010 P
-2.271 -0.216 -0.915 S
0.000 0.000 0.000 Zr
-0.186 -2.286 1.001 Cl
0.939 -0.994 -2.095 Cl
```

The calculation puts the uncorrected formation energy at -0.646 eV/atom. The calculation puts the theoretical density at 3.037 g/cm3. The size of the total moment is 2.98 μB per formula unit.


Computed, not measured: a PBEsol-optimized structure of Sb2PCl at the meta-GGA SCAN level of DFT.

POSCAR file:
```
Sb2PCl
1.0
3.945 0.000 0.000
0.000 3.945 0.000
-1.972 -1.972 5.732
Sb P Cl
2 1 1
Cartesian
0.000 0.000 0.000 Sb
1.972 0.000 2.866 Sb
0.000 1.972 2.866 P
1.972 1.972 0.000 Cl
```

The calculation puts the uncorrected formation energy at 0.395 eV/atom. The calculation puts the theoretical density at 5.771 g/cm3. The size of the total moment is 0.00 μB per formula unit.


Computed, not measured: a PBEsol-optimized structure of SbPCl2 at the meta-GGA SCAN level of DFT.

POSCAR file:
```
SbPCl2
1.0
3.178 0.000 0.000
-1.589 2.855 0.000
0.000 0.000 10.172
Sb P Cl
1 1 2
Cartesian
1.589 0.000 0.000 Sb
1.589 0.000 5.086 P
0.000 0.000 6.877 Cl
0.000 0.000 3.295 Cl
```

The calculation puts the uncorrected formation energy at 0.217 eV/atom. The calculation puts the theoretical density at 4.024 g/cm3. The size of the total moment is 0.00 μB per formula unit.


Computed, not measured: a PBEsol-optimized structure of Sb2PCl at the meta-GGA SCAN level of DFT.

POSCAR file:
```
Sb2PCl
1.0
-2.401 3.237 -1.624
-2.055 -0.512 -3.794
-6.267 -1.196 1.068
Sb Cl P
2 1 1
Cartesian
-2.380 0.515 -1.269 Sb
-8.343 1.014 -3.082 Sb
-5.362 0.764 -2.175 Cl
0.000 0.000 0.000 P
```

The calculation puts the uncorrected formation energy at 0.060 eV/atom. The calculation puts the theoretical density at 5.279 g/cm3. The size of the total moment is 0.00 μB per formula unit.


Computed, not measured: a PBEsol-optimized structure of SbPCl2 at the meta-GGA SCAN level of DFT.

POSCAR file:
```
SbPCl2
1.0
3.550 0.000 0.000
0.000 4.388 0.000
-1.775 -2.194 6.203
Sb P Cl
1 1 2
Cartesian
0.000 2.194 2.257 Sb
1.775 2.194 0.348 P
0.000 0.000 0.305 Cl
1.775 0.000 3.293 Cl
```

The calculation puts the uncorrected formation energy at 0.028 eV/atom. The calculation puts the theoretical density at 3.844 g/cm3. The size of the total moment is 0.00 μB per formula unit.


Computed, not measured: a PBEsol-optimized structure of SbPCl2 at the meta-GGA SCAN level of DFT.

POSCAR file:
```
SbPCl2
1.0
-3.119 0.644 2.782
-2.737 -1.847 -2.641
3.769 -3.278 1.770
Sb P Cl
1 1 2
Cartesian
0.000 0.000 0.000 Sb
-2.928 -0.601 0.070 P
-1.139 -1.618 2.311 Cl
-0.948 -2.863 -0.400 Cl
```

The calculation puts the uncorrected formation energy at 0.414 eV/atom. The calculation puts the theoretical density at 4.748 g/cm3. The size of the total moment is 0.00 μB per formula unit.


Computed, not measured: a PBEsol-optimized structure of SbPCl2 at the meta-GGA SCAN level of DFT.

POSCAR file:
```
SbPCl2
1.0
4.267 0.000 0.000
0.000 4.267 0.000
-2.133 -2.133 9.239
Sb P Cl
2 2 4
Cartesian
0.000 2.133 4.620 Sb
0.000 0.000 0.000 Sb
2.133 0.000 4.620 P
2.133 2.133 0.000 P
1.093 3.200 2.310 Cl
3.174 1.067 2.310 Cl
-1.067 -1.041 6.930 Cl
1.067 1.041 6.930 Cl
```

The calculation puts the uncorrected formation energy at 0.140 eV/atom. The calculation puts the theoretical density at 4.416 g/cm3. The size of the total moment is 0.00 μB per formula unit.